# 1
## Li2RePt (SCAN)

Data for Li2RePt at its PBEsol-relaxed geometry.

a = 9.1013 Å, b = 9.1013 Å, c = 9.1013 Å
α = 16.83°, β = 16.83°, γ = 16.83°
Last column: nearest neighbours and their distance in Å.
Sites, in units of the cell vectors:
Li 0.2471 0.2471 0.2471  3 Pt 2.66, 6 Li 2.66, 3 Re 2.78
Li 0.7529 0.7529 0.7529  3 Pt 2.66, 6 Li 2.66, 3 Re 2.78
Re 0.0000 0.0000 0.0000  6 Re 2.66, 6 Li 2.78
Pt 0.5000 0.5000 0.5000  6 Li 2.66, 6 Pt 2.66

Output
- energy of formation from the pure elements (eV/atom) = -0.23
- space-group type = R-3m (166)
- crystal system = trigonal
- total DFT energy (no corrections) (eV per atom) = -36.744


# 2
## CsInSe2 (SCAN)

Data for CsInSe2 at its PBEsol-relaxed geometry.

a = 7.1505 Å, b = 7.1505 Å, c = 7.1505 Å
α = 112.71°, β = 112.71°, γ = 103.16°
Last column: nearest neighbours and their distance in Å.
Sites, in units of the cell vectors:
Cs 0.0000 0.0000 0.0000  4 Se 3.53
Cs 0.7500 0.2500 0.5000  4 Se 3.53
In 0.2500 0.7500 0.5000  4 Se 2.59
In 0.5000 0.5000 0.0000  4 Se 2.59
Se 0.2168 0.1250 0.5918  2 In 2.59
Se 0.3750 0.7832 0.9082  2 In 2.59
Se 0.5332 0.6250 0.4082  2 In 2.59
Se 0.8750 0.4668 0.0918  2 In 2.59

Output
- space-group type = I-42d (122)
- formation energy from raw total energies (eV per atom) = -1.045
- crystal system = tetragonal
- total DFT energy (no corrections) (eV per atom) = -28.884


# 3
## La2Ni (SCAN)

Data for La2Ni at its PBEsol-relaxed geometry.

a = 6.2323 Å, b = 6.2323 Å, c = 6.9672 Å
α = 90.05°, β = 90.05°, γ = 35.61°
Last column: nearest neighbours and their distance in Å.
Sites, in units of the cell vectors:
La 0.0000 0.0000 0.0000  4 Ni 2.87
La 0.0006 0.0006 0.5001  4 Ni 2.87
La 0.2792 0.2792 0.2515  2 Ni 2.80
La 0.7214 0.7214 0.7514  2 Ni 2.80
Ni 0.3945 0.3945 0.7487  6 La 2.80-2.87
Ni 0.6061 0.6061 0.2497  6 La 2.80-2.87

Output
- energy of formation from the pure elements (eV/atom) = -0.21
- space-group type = Cm (8)
- crystal system = monoclinic
- total DFT energy (no corrections) (eV per atom) = -34.334


# 4
## AgC3 (SCAN)

Data for AgC3 at its PBEsol-relaxed geometry.

a = 4.1115 Å, b = 4.1115 Å, c = 4.1115 Å
α = 90.00°, β = 90.00°, γ = 90.00°
Last column: nearest neighbours and their distance in Å.
Sites, in units of the cell vectors:
Ag 0.0000 0.0000 0.0000  6 C 2.06
C 0.0000 0.0000 0.5000  2 Ag 2.06
C 0.0000 0.5000 0.0000  2 Ag 2.06
C 0.5000 0.0000 0.0000  2 Ag 2.06

Output
- energy of formation from the pure elements (eV/atom) = 4.37
- space-group type = Pm-3m (221)
- crystal system = cubic
- total DFT energy (no corrections) (eV per atom) = -11.043


# 5
## Ba4SbPt (SCAN)

Data for Ba4SbPt at its PBEsol-relaxed geometry.

a = 6.7107 Å, b = 6.7107 Å, c = 6.7107 Å
α = 60.00°, β = 60.00°, γ = 60.00°
Last column: nearest neighbours and their distance in Å.
Sites, in units of the cell vectors:
Ba 0.1253 0.1253 0.1253  6 Ba 3.35-3.36
Ba 0.1253 0.1253 0.6242  6 Ba 3.35-3.36
Ba 0.1253 0.6242 0.1253  6 Ba 3.35-3.36
Ba 0.6242 0.1253 0.1253  6 Ba 3.35-3.36
Sb 0.7500 0.7500 0.7500  12 Ba 3.94, 4 Pt 4.11
Pt 0.5000 0.5000 0.5000  12 Ba 3.93, 4 Sb 4.11

Output
- space-group type = F-43m (216)
- formation energy from raw total energies (eV per atom) = 0.237
- crystal system = cubic
- total DFT energy (no corrections) (eV per atom) = -44.039


# 6
## LaCeC4 (SCAN)

Data for LaCeC4 at its PBEsol-relaxed geometry.

a = 4.1841 Å, b = 4.1841 Å, c = 5.3820 Å
α = 90.00°, β = 90.00°, γ = 99.97°
Last column: nearest neighbours and their distance in Å.
Sites, in units of the cell vectors:
La 0.0000 0.0000 0.0000  10 C 2.56-2.77
Ce 0.5000 0.5000 0.5000  10 C 2.55-2.77
C 0.1025 0.8975 0.5000  1 C 1.31
C 0.3991 0.6009 0.0000  1 C 1.29
C 0.6009 0.3991 0.0000  1 C 1.29
C 0.8975 0.1025 0.5000  1 C 1.31

Output
- energy of formation from the pure elements (eV/atom) = -0.26
- space-group type = Cmmm (65)
- crystal system = orthorhombic
- total DFT energy (no corrections) (eV per atom) = -21.602


# 7
## SiRhSeBr2 (SCAN)

Data for SiRhSeBr2 at its PBEsol-relaxed geometry.

a = 4.8881 Å, b = 4.8881 Å, c = 4.8515 Å
α = 90.00°, β = 90.00°, γ = 90.00°
Last column: nearest neighbours and their distance in Å.
Sites, in units of the cell vectors:
Si 0.0000 0.0000 0.0000  8 Br 3.44, 4 Se 3.46
Rh 0.5000 0.5000 0.5000  2 Se 2.43, 4 Br 2.44
Se 0.5000 0.5000 0.0000  2 Rh 2.43
Br 0.0000 0.5000 0.5000  2 Rh 2.44
Br 0.5000 0.0000 0.5000  2 Rh 2.44

Output
- space-group type = P4/mmm (123)
- formation energy from raw total energies (eV per atom) = 0.444
- crystal system = tetragonal
- total DFT energy (no corrections) (eV per atom) = -20.113


# 8
## MgAlCr4 (SCAN)

Data for MgAlCr4 at its PBEsol-relaxed geometry.

a = 4.8047 Å, b = 4.8047 Å, c = 4.8047 Å
α = 60.00°, β = 60.00°, γ = 60.00°
Last column: nearest neighbours and their distance in Å.
Sites, in units of the cell vectors:
Mg 0.0000 0.0000 0.0000  12 Cr 2.82, 4 Al 2.94
Al 0.7500 0.7500 0.7500  12 Cr 2.82, 4 Mg 2.94
Cr 0.3746 0.3746 0.3746  6 Cr 2.39-2.41
Cr 0.3746 0.3746 0.8763  6 Cr 2.39-2.41
Cr 0.3746 0.8763 0.3746  6 Cr 2.39-2.41
Cr 0.8763 0.3746 0.3746  6 Cr 2.39-2.41

Output
- energy of formation from the pure elements (eV/atom) = 0.29
- space-group type = F-43m (216)
- crystal system = cubic
- total DFT energy (no corrections) (eV per atom) = -14.092


# 9
## KAgAu4 (SCAN)

Data for KAgAu4 at its PBEsol-relaxed geometry.

a = 5.5089 Å, b = 5.5089 Å, c = 5.5089 Å
α = 60.00°, β = 60.00°, γ = 60.00°
Last column: nearest neighbours and their distance in Å.
Sites, in units of the cell vectors:
K 0.0000 0.0000 0.0000  12 Au 3.23, 4 Ag 3.37
Ag 0.2500 0.2500 0.2500  12 Au 3.23, 4 K 3.37
Au 0.1262 0.6246 0.6246  6 Au 2.75-2.76
Au 0.6246 0.1262 0.6246  6 Au 2.75-2.76
Au 0.6246 0.6246 0.1262  6 Au 2.75-2.76
Au 0.6246 0.6246 0.6246  6 Au 2.75-2.76

Output
- energy of formation from the pure elements (eV/atom) = -0.19
- space-group type = F-43m (216)
- crystal system = cubic
- total DFT energy (no corrections) (eV per atom) = -52.909


# 10
## AlAu3 (SCAN)

Data for AlAu3 at its PBEsol-relaxed geometry.

a = 3.0970 Å, b = 3.2784 Å, c = 6.4144 Å
α = 90.00°, β = 90.00°, γ = 90.00°
Last column: nearest neighbours and their distance in Å.
Sites, in units of the cell vectors:
Al 0.0000 0.0000 0.0000  8 Au 2.68
Au 0.0000 0.0000 0.5000  10 Au 2.86-3.10
Au 0.5000 0.5000 0.2249  4 Al 2.68, 5 Au 2.86-2.88
Au 0.5000 0.5000 0.7751  4 Al 2.68, 5 Au 2.86-2.88

Output
- energy of formation from the pure elements (eV/atom) = -0.33
- space-group type = Pmmm (47)
- crystal system = orthorhombic
- total DFT energy (no corrections) (eV per atom) = -54.132


# 11
## Nb2AgF (SCAN)

Data for Nb2AgF at its PBEsol-relaxed geometry.

a = 4.4448 Å, b = 4.4448 Å, c = 4.4448 Å
α = 60.00°, β = 60.00°, γ = 60.00°
Last column: nearest neighbours and their distance in Å.
Sites, in units of the cell vectors:
Nb 0.2500 0.2500 0.2500  4 F 2.72, 4 Ag 2.72
Nb 0.7500 0.7500 0.7500  4 F 2.72, 4 Ag 2.72
Ag 0.0000 0.0000 0.0000  8 Nb 2.72
F 0.5000 0.5000 0.5000  8 Nb 2.72

Output
- space-group type = Fm-3m (225)
- formation energy from raw total energies (eV per atom) = 0.048
- crystal system = cubic
- total DFT energy (no corrections) (eV per atom) = -25.244


# 12
## ScNb2MoN (SCAN)

Data for ScNb2MoN at its PBEsol-relaxed geometry.

a = 4.7110 Å, b = 4.7110 Å, c = 4.3362 Å
α = 90.00°, β = 90.00°, γ = 90.00°
Last column: nearest neighbours and their distance in Å.
Sites, in units of the cell vectors:
Sc 0.0000 0.0000 0.0000  2 Mo 2.17, 4 Nb 2.36
Nb 0.0000 0.5000 0.0000  2 Sc 2.36
Nb 0.5000 0.0000 0.0000  2 Sc 2.36
Mo 0.0000 0.0000 0.5000  2 Sc 2.17
N 0.5000 0.5000 0.5000  8 Nb 3.20, 4 Mo 3.33

Output
- space-group type = P4/mmm (123)
- formation energy from raw total energies (eV per atom) = 2.887
- crystal system = tetragonal
- total DFT energy (no corrections) (eV per atom) = -22.048


# 13
## BAsIrSe2 (SCAN)

Data for BAsIrSe2 at its PBEsol-relaxed geometry.

a = 5.0174 Å, b = 5.0174 Å, c = 4.5356 Å
α = 90.00°, β = 90.00°, γ = 90.00°
Last column: nearest neighbours and their distance in Å.
Sites, in units of the cell vectors:
B 0.0000 0.0000 0.0000  8 Se 3.38, 4 As 3.55
As 0.5000 0.5000 0.0000  2 Ir 2.27
Ir 0.5000 0.5000 0.5000  2 As 2.27, 4 Se 2.51
Se 0.0000 0.5000 0.5000  2 Ir 2.51
Se 0.5000 0.0000 0.5000  2 Ir 2.51

Output
- space-group type = P4/mmm (123)
- formation energy from raw total energies (eV per atom) = 1.406
- crystal system = tetragonal
- total DFT energy (no corrections) (eV per atom) = -26.369